Record 1
The following is a DFT calculation (PBE-GGA) of a geometry-optimized Pm8PrDy5 structure.

Lattice parameters (Å, degrees): 8.565 8.565 8.565 111.55 105.39 111.55
Positions (direct):
Pr (0.250, 0.500, 0.750)
Pm (0.166, 0.735, 0.075)
Pm (0.340, 0.265, 0.431)
Dy (0.278, 0.096, 0.963)
Dy (0.818, 0.685, 0.722)
Dy (0.867, 0.904, 0.182)
Pm (0.672, 0.395, 0.927)
Dy (0.037, 0.315, 0.133)
Dy (0.500, 0.000, 0.500)
Pm (0.925, 0.091, 0.660)
Pm (0.569, 0.909, 0.834)
Pm (0.073, 0.745, 0.468)
Pm (0.532, 0.605, 0.277)
Pm (0.723, 0.255, 0.328)

Its energy of formation is 0.237 eV/atom. The calculated density is 7.3 g/cm3. For the size of the total moment, the calculation gives 0.00 μB/f.u.

Record 2
The following is a DFT calculation (PBE-GGA) of a geometry-optimized Ti4GaPd7 structure.

Lattice parameters (Å, degrees): 4.715 8.560 5.726 78.47 65.68 74.01
Positions (direct):
Pd (0.931, 0.337, 0.802)
Ti (0.752, 0.666, 0.831)
Ti (0.248, 0.334, 0.169)
Pd (0.639, 0.463, 0.258)
Pd (0.069, 0.663, 0.198)
Pd (0.208, 0.086, 0.497)
Pd (0.500, 0.000, 0.000)
Ga (0.000, 0.000, 0.000)
Pd (0.792, 0.914, 0.503)
Ti (0.415, 0.774, 0.396)
Ti (0.585, 0.226, 0.604)
Pd (0.361, 0.537, 0.742)

Its energy of formation is -0.376 eV/atom. The calculated density is 8.3 g/cm3. For the size of the total moment, the calculation gives 0.00 μB/f.u.